NiPd3Ru | PBE | relaxed

Output
calculated density	8.71	g/cm³
calculated volume	91	Å³ per cell
ΔE to the lowest computed polymorph	0.000	eV per formula unit
DOS at the Fermi energy	8.4	states/eV/f.u.
formation energy from the elements	1.2071	eV per atom
space group	No. 221

a b c (Å): 4.5029 4.5029 4.5029
angles (deg): 90.00 90.00 90.00
Closest atoms and distances in Å follow each position.
Fractional positions:
Ni 0.0000 0.0000 0.0000  6 Pd 2.25
Pd 0.0000 0.0000 0.5000  2 Ni 2.25
Pd 0.0000 0.5000 0.0000  2 Ni 2.25
Pd 0.5000 0.0000 0.0000  2 Ni 2.25
Ru 0.5000 0.5000 0.5000  12 Pd 3.18

Ni4PdRu | PBE | relaxed

Output
calculated density	9.93	g/cm³
calculated volume	74	Å³ per cell
DOS at the Fermi energy	6.8	states/eV/f.u.
formation energy from the elements	0.1153	eV per atom
space group	No. 216

a b c (Å): 4.7114 4.7114 4.7114
angles (deg): 60.00 60.00 60.00
Closest atoms and distances in Å follow each position.
Fractional positions:
Ni 0.1249 0.1249 0.1249  6 Ni 2.35-2.36
Ni 0.1249 0.1249 0.6253  6 Ni 2.35-2.36
Ni 0.1249 0.6253 0.1249  6 Ni 2.35-2.36
Ni 0.6253 0.1249 0.1249  6 Ni 2.35-2.36
Pd 0.7500 0.7500 0.7500  12 Ni 2.76, 4 Ru 2.89
Ru 0.5000 0.5000 0.5000  12 Ni 2.76, 4 Pd 2.89

Ni2PdRu2 | PBE | relaxed

Output
calculated density	10.33	g/cm³
calculated volume	137	Å³ per cell
ΔE to the lowest computed polymorph	0.198	eV per formula unit
DOS at the Fermi energy	9.2	states/eV/f.u.
formation energy from the elements	0.3353	eV per atom
space group	No. 127

a b c (Å): 7.1399 7.1399 2.6857
angles (deg): 90.00 90.00 90.00
Closest atoms and distances in Å follow each position.
Fractional positions:
Ni 0.1723 0.3277 0.0000  6 Ru 2.47-2.52, 2 Ni 2.69
Ni 0.3277 0.8277 0.0000  6 Ru 2.47-2.52, 2 Ni 2.69
Ni 0.6723 0.1723 0.0000  6 Ru 2.47-2.52, 2 Ni 2.69
Ni 0.8277 0.6723 0.0000  6 Ru 2.47-2.52, 2 Ni 2.69
Pd 0.0000 0.0000 0.5000  2 Pd 2.69, 4 Ru 2.83, 8 Ni 2.96
Pd 0.5000 0.5000 0.5000  2 Pd 2.69, 4 Ru 2.83, 8 Ni 2.96
Ru 0.1224 0.6224 0.5000  6 Ni 2.47-2.52, 3 Ru 2.47-2.69
Ru 0.3776 0.1224 0.5000  6 Ni 2.47-2.52, 3 Ru 2.47-2.69
Ru 0.6224 0.8776 0.5000  6 Ni 2.47-2.52, 3 Ru 2.47-2.69
Ru 0.8776 0.3776 0.5000  6 Ni 2.47-2.52, 3 Ru 2.47-2.69

NiSbPdRu | PBE | relaxed

Output
formation energy without anion corrections	-0.055	eV/atom
calculated density	10.63	g/cm³
calculated volume	61	Å³ per cell
DOS at the Fermi energy	5.0	states/eV/f.u.
space group	No. 216

a b c (Å): 4.4088 4.4088 4.4088
angles (deg): 60.00 60.00 60.00
Closest atoms and distances in Å follow each position.
Fractional positions:
Ni 0.0000 0.0000 0.0000  4 Ru 2.70, 4 Pd 2.70
Sb 0.5000 0.5000 0.5000  4 Ru 2.70, 4 Pd 2.70
Pd 0.7500 0.7500 0.7500  4 Sb 2.70, 4 Ni 2.70
Ru 0.2500 0.2500 0.2500  4 Sb 2.70, 4 Ni 2.70

ScNiPd2Ru | PBE | relaxed

Output
calculated density	6.43	g/cm³
calculated volume	108	Å³ per cell
DOS at the Fermi energy	6.7	states/eV/f.u.
formation energy from the elements	0.9562	eV per atom
space group	No. 123

a b c (Å): 4.8094 4.8094 4.6636
angles (deg): 90.00 90.00 90.00
Closest atoms and distances in Å follow each position.
Fractional positions:
Sc 0.0000 0.0000 0.0000  2 Ru 2.33
Ni 0.5000 0.5000 0.0000  8 Pd 3.35, 4 Sc 3.40
Pd 0.0000 0.5000 0.5000  2 Ru 2.40
Pd 0.5000 0.0000 0.5000  2 Ru 2.40
Ru 0.0000 0.0000 0.5000  2 Sc 2.33, 4 Pd 2.40

NiPdRuSe2 | PBE | relaxed

Output
formation energy without anion corrections	0.847	eV/atom
calculated density	7.40	g/cm³
calculated volume	95	Å³ per cell
DOS at the Fermi energy	5.6	states/eV/f.u.
space group	No. 123

a b c (Å): 4.4861 4.4861 4.7298
angles (deg): 90.00 90.00 90.00
Closest atoms and distances in Å follow each position.
Fractional positions:
Ni 0.0000 0.0000 0.0000  4 Se 2.24, 2 Pd 2.36
Pd 0.0000 0.0000 0.5000  2 Ni 2.36
Ru 0.5000 0.5000 0.5000  4 Pd 3.17, 8 Se 3.26
Se 0.0000 0.5000 0.0000  2 Ni 2.24
Se 0.5000 0.0000 0.0000  2 Ni 2.24

NiSnPdRu | PBE | relaxed

Output
calculated density	10.50	g/cm³
calculated volume	61	Å³ per cell
DOS at the Fermi energy	5.3	states/eV/f.u.
formation energy from the elements	-0.0822	eV per atom
space group	No. 216

a b c (Å): 4.4147 4.4147 4.4147
angles (deg): 60.00 60.00 60.00
Closest atoms and distances in Å follow each position.
Fractional positions:
Ni 0.0000 0.0000 0.0000  4 Ru 2.70, 4 Pd 2.70
Sn 0.5000 0.5000 0.5000  4 Ru 2.70, 4 Pd 2.70
Pd 0.2500 0.2500 0.2500  4 Sn 2.70, 4 Ni 2.70
Ru 0.7500 0.7500 0.7500  4 Sn 2.70, 4 Ni 2.70

TiNiPdRu | PBE | relaxed

Output
calculated density	9.27	g/cm³
calculated volume	56	Å³ per cell
DOS at the Fermi energy	6.2	states/eV/f.u.
formation energy from the elements	-0.2491	eV per atom
space group	No. 216

a b c (Å): 4.3007 4.3007 4.3007
angles (deg): 60.00 60.00 60.00
Closest atoms and distances in Å follow each position.
Fractional positions:
Ti 0.0000 0.0000 0.0000  4 Ru 2.63, 4 Pd 2.63
Ni 0.5000 0.5000 0.5000  4 Ru 2.63, 4 Pd 2.63
Pd 0.7500 0.7500 0.7500  4 Ni 2.63, 4 Ti 2.63
Ru 0.2500 0.2500 0.2500  4 Ni 2.63, 4 Ti 2.63

Q: calculated density of number 3 (Ni2PdRu2)?
A: 10.33 g/cm³

Q: Among the records above, which one has the lowest calculated density?
A: ScNiPd2Ru